Compound: LiPm5S8
Source: Alexandria via LeMat-Bulk
Functional: GGA-PBE
Structure: relaxed

Summary:
- Volume: 21.91 A^3/atom
- E: -6.180 eV per atom

Cell lengths 8.468, 8.468, 8.554 Å; angles 90.00, 90.00, 90.00 degrees
Space group I-4 (No. 82)
Unique sites:
Li  0.000  0.000  0.000 [2 per cell]
Pm  0.000  0.500  0.250 [2 per cell]
Pm  0.130  0.747  0.629 [8 per cell]
S  0.071  0.681  0.952 [8 per cell]
S  0.075  0.819  0.312 [8 per cell]